# 1
Li5Ti8O16 | the Alexandria database | meta-GGA SCAN | PBEsol geometry; formation energy without anion corrections = -3.04 eV per atom
1.0
5.2396 0.0088 0.0077
-2.4228 7.1653 -0.0073
-2.0971 -1.2452 7.3591
O Ti Li
16 8 5
Cartesian
-0.8559 4.4754 2.1668
-0.6307 0.2507 5.9386
-1.9408 2.8650 6.8765
0.3948 -0.1574 3.1259
0.7205 3.8547 5.9598
-1.1878 6.6903 0.5174
0.0106 2.0612 1.5105
2.5599 3.1250 0.5619
1.7839 3.4416 3.1342
1.4124 5.6607 1.4523
-2.2826 5.0380 5.1399
-1.0028 2.4502 4.1672
1.5126 1.4765 5.1008
3.0042 0.8912 2.1583
0.4349 6.0567 4.1598
1.8914 -0.7742 6.8727
1.1377 5.7838 5.9515
1.1780 -0.4265 5.0207
-0.4315 0.2011 1.2918
-2.6919 3.0943 5.0171
-0.3010 2.1685 5.9626
3.4661 2.7695 2.4413
-0.3388 6.3525 2.4332
0.9174 3.7469 1.3070
-1.6051 4.7085 0.3345
-1.5269 4.7424 6.9725
0.6654 1.8059 3.3716
2.3067 1.2307 0.3317
2.1206 5.3792 3.3583

***

# 2
LiTi4O8 | the Alexandria database | meta-GGA SCAN | PBEsol geometry; energy above the most stable polymorph in this dataset = 25 meV per atom; formation energy without anion corrections = -3.17 eV per atom
1.0
-2.5799 1.3607 -0.3813
-1.6355 -1.8854 4.3374
3.4120 7.7052 4.4122
O Ti Li
8 4 1
Cartesian
-1.4463 1.5598 4.0061
1.9470 4.9954 4.6541
-1.1881 -1.2425 3.6047
1.6944 7.7741 4.9331
-0.1789 3.7339 3.1895
0.5313 1.4882 1.7162
-0.0270 5.0450 6.8409
0.6462 2.7473 5.4324
-2.3981 -0.1002 4.5214
0.4680 1.8877 3.5703
2.8671 6.5568 4.0006
0.0370 4.6411 4.9665
-1.2566 2.4422 5.8715

***

# 3
LiTi2O4 | the Alexandria database | meta-GGA SCAN | PBEsol geometry; energy above the most stable polymorph in this dataset = 9 meV per atom; formation energy without anion corrections = -3.10 eV per atom
1.0
3.7912 0.0000 0.0000
0.0000 8.0821 0.0000
0.0000 0.0000 9.0188
O Li Ti
16 4 8
Cartesian
1.8956 3.0951 3.1200
1.8956 6.9990 3.1403
0.0000 7.0687 5.5271
0.0000 0.9459 7.6293
0.0000 5.1242 7.6497
1.8956 4.9869 5.8988
0.0000 2.9579 1.3691
1.8956 7.0823 8.1227
0.0000 1.0134 3.4916
1.8956 3.0277 8.0010
0.0000 3.0413 5.4054
0.0000 7.1362 1.3894
1.8956 1.0831 5.8784
0.0000 5.0408 3.6134
1.8956 5.0544 1.0177
1.8956 0.9998 0.8960
0.0000 1.0019 1.4976
0.0000 7.0801 7.5212
1.8956 3.0391 6.0069
1.8956 5.0430 3.0118
0.0000 0.9578 5.4759
1.8956 1.0898 7.9860
1.8956 4.9988 8.0523
0.0000 2.9512 3.4766
1.8956 6.9922 1.0328
1.8956 3.0833 0.9665
0.0000 7.1243 3.5429
0.0000 5.1309 5.5421

***

# 4
LiTi3O6 | the Alexandria database | meta-GGA SCAN | PBEsol geometry; energy above the most stable polymorph in this dataset = 17 meV per atom; formation energy without anion corrections = -3.15 eV per atom
1.0
-1.8212 2.2378 4.4543
1.8305 -4.9681 0.3632
7.5835 4.2807 -0.7710
Ti Li O
6 2 12
Cartesian
0.0000 0.0000 0.0000
0.3285 1.5950 2.4946
2.5596 -0.3835 2.9602
5.0332 1.9339 1.0863
5.4385 3.5584 3.5974
4.7093 -1.0263 1.0005
2.8835 2.5767 3.0460
0.0047 -1.3652 2.4087
1.0260 -3.3807 1.2645
5.8156 0.3774 0.1576
5.5138 -2.6138 0.0992
-1.0167 0.6503 3.5530
4.2239 3.4800 2.0093
1.7770 1.2117 3.8207
1.1111 -0.0002 1.6341
3.9048 0.5612 1.9017
6.4772 2.8770 0.0719
3.3690 -1.9683 2.1055
1.3496 -1.7883 3.7125
6.2477 2.0122 2.6745

***

# 5
LiTi2O4 | the Alexandria database | meta-GGA SCAN | PBEsol geometry; energy above the most stable polymorph in this dataset = 30 meV per atom; formation energy without anion corrections = -3.08 eV per atom
1.0
-4.0508 3.8426 1.7409
0.0966 -1.8332 -5.5529
-5.8355 -7.1796 2.2687
Ti O Li
8 16 4
Cartesian
-7.9231 -2.7546 2.2801
-2.3159 -2.0122 -0.9473
-1.3593 -0.0317 -3.0931
-7.8758 -3.6526 -0.4398
-5.6596 -1.7295 0.4725
-5.9390 -4.6368 1.4274
-2.2686 -2.9102 -3.6672
-4.2527 -1.0280 -2.8145
-5.8658 -7.3834 -2.2937
-5.6728 -0.9205 -1.3441
-1.0981 -1.3511 0.4269
-7.8982 -4.4837 1.3428
-1.0305 -1.9498 -2.4542
-7.9034 -5.4505 -1.4180
-2.7854 -1.0580 -4.1460
-3.5979 -2.7859 -2.2228
-5.9443 -2.8080 2.1905
-5.9014 -3.6216 -0.2739
-4.0159 -4.9409 1.5613
-5.9144 -6.4613 0.4995
-3.6837 -1.9312 0.5735
-5.7214 0.0017 1.4491
-2.8282 -0.2444 -1.6816
-7.6992 -1.9162 0.4987
-3.2578 1.2254 -0.4612
-4.7931 -4.2564 -1.7581
-0.0292 -0.0360 0.0114
-2.9470 -3.6258 1.1457

***

# 6
Li7Ti11O24 | the Alexandria database | meta-GGA SCAN | PBEsol geometry; energy above the most stable polymorph in this dataset = 18 meV per atom; formation energy without anion corrections = -3.08 eV per atom
1.0
5.0173 0.0000 0.0038
0.0000 8.7644 0.0000
-0.0445 0.0000 9.6210
O Li Ti
24 7 11
Cartesian
3.5969 2.8009 6.8866
0.9613 0.0000 0.3614
0.9663 5.8527 0.3587
3.9138 5.8639 2.0239
0.9982 1.4391 7.5146
1.4982 5.9329 5.1299
0.9663 2.9117 0.3587
3.6036 4.3822 4.3391
1.5526 0.0000 5.1864
3.9087 1.4454 9.2906
3.9087 7.3190 9.2906
1.4982 2.8315 5.1299
3.9089 4.3822 9.2679
3.5559 0.0000 6.8546
3.5710 7.2975 4.4644
1.5023 7.3301 2.6731
3.5969 5.9635 6.8866
1.5023 1.4343 2.6731
3.9453 0.0000 2.0760
0.9982 7.3253 7.5146
0.8608 4.3822 7.5156
3.9138 2.9005 2.0239
1.4925 4.3822 2.6676
3.5710 1.4669 4.4644
2.8092 2.9075 0.3087
4.6727 5.7792 5.1977
2.8059 0.0000 0.3558
4.6727 2.9852 5.1977
2.8092 5.8569 0.3087
2.3805 4.3822 6.2512
4.7050 0.0000 5.1703
2.5690 0.0000 3.4848
0.0957 7.2852 1.3801
0.0957 1.4792 1.3801
4.9161 5.8227 8.2339
4.9161 2.9417 8.2339
2.3770 7.2177 6.1853
4.8635 0.0000 8.2816
2.5489 2.9557 3.5428
2.5489 5.8087 3.5428
2.3770 1.5467 6.1853
0.0586 4.3822 1.3786

***

# 7
LiTi3O | the Alexandria database | meta-GGA SCAN | PBEsol geometry; energy above the most stable polymorph in this dataset = 0 meV per atom; formation energy without anion corrections = -0.97 eV per atom
1.0
-3.8632 1.0108 0.8398
-1.3010 -2.5729 -2.8878
-0.1858 -3.0017 2.7581
Li O Ti
1 1 3
Cartesian
-2.6750 -2.2819 0.3550
0.0000 0.0000 0.0000
-0.0929 -1.5009 1.3790
-1.9316 0.5054 0.4199
-0.6505 -1.2864 -1.4439

***

# 8
Li7Ti16O32 | the Alexandria database | meta-GGA SCAN | PBEsol geometry; energy above the most stable polymorph in this dataset = 0 meV per atom; formation energy without anion corrections = -3.12 eV per atom
1.0
8.3604 0.0000 0.0000
0.0000 8.3604 0.0000
-4.1802 -4.1802 8.3572
O Ti Li
32 16 7
Cartesian
5.3215 1.1501 5.3186
5.3303 -1.1413 3.0386
3.2388 5.1216 3.2433
1.1440 1.1440 1.1415
3.2375 7.4226 0.9446
0.9437 -0.9437 3.2287
7.2163 7.2163 1.1415
1.1501 5.3215 5.3186
-1.1501 3.0388 5.3186
-0.9414 -0.9414 5.1139
0.9427 3.2424 7.4126
5.1229 0.9378 0.9446
0.9378 5.1229 0.9446
3.0300 1.1413 3.0386
1.1762 -1.1762 7.1794
-1.1762 1.1762 7.1794
3.0361 -3.0361 7.2157
5.1216 3.2388 3.2433
0.9414 0.9414 5.1139
5.3564 5.3564 1.1778
-0.9427 -3.2424 7.4126
1.1413 3.0300 3.0386
-0.9437 0.9437 3.2287
3.2365 3.2365 5.1284
5.1239 5.1239 5.1284
-3.0361 3.0361 7.2157
3.0388 -1.1501 5.3186
7.4226 3.2375 0.9446
3.2424 0.9427 7.4126
-1.1413 5.3303 3.0386
-3.2424 -0.9427 7.4126
3.0040 3.0040 1.1778
-1.0451 1.0451 5.2353
7.2922 5.2172 1.0395
3.1432 1.0682 1.0395
-3.1120 1.0370 7.3177
1.0414 1.0414 3.1238
5.2216 3.1387 5.2334
3.1120 -1.0370 7.3177
1.0682 3.1432 1.0395
3.1350 3.1350 3.1219
1.0451 -1.0451 5.2353
1.0370 -3.1120 7.3177
-1.0414 -1.0414 3.1238
-1.0370 3.1120 7.3177
3.1387 5.2216 5.2334
5.2172 7.2922 1.0395
5.2253 5.2253 3.1219
6.2570 2.1034 2.0754
2.0768 2.0768 6.2818
4.1802 0.0000 4.1786
-2.0768 -2.0768 6.2818
2.1034 6.2570 2.0754
0.0000 0.0000 0.0000
0.0000 4.1802 4.1786

***

What E values result from the calculations? In sequence: -328.12 -157.58 -324.33 -238.65 -323.72 -471.76 -61.56 -644.26 eV/cell.
What total magnetization values result from the calculations? In sequence: 0.00 1.06 0.00 0.02 0.01 3.11 0.00 0.01 μB/cell.